Entry from the Alexandria database: a geometry-optimized SmIr2Rh structure (PBE).

```
16
Lattice="-0.509 -0.626 6.773 4.115 -3.289 0.005 5.925 7.415 1.131" Properties=species:S:1:pos:R:3 pbc="T T T"
Ir 2.708 3.394 3.952
Rh 2.390 0.887 3.697
Ir 1.141 -0.678 2.157
Ir 0.000 0.000 0.000
Ir 8.390 4.177 5.752
Sm 4.139 -1.145 3.640
Rh 7.478 3.028 0.842
Ir 8.583 4.414 3.188
Sm 5.393 4.644 4.270
Sm 5.318 0.326 0.430
Rh 2.563 1.097 0.294
Sm 4.722 3.800 0.706
Rh 7.141 2.612 4.213
Ir 2.058 -1.645 0.003
Ir 0.949 -0.915 4.722
Ir 4.766 1.750 3.955
```

## Properties
ΔH_f (0 K)	0.187	eV/atom
D(E_F)	17.1	states/eV/cell
symmetry	No. 51
density	12.33	Mg/m³
total magnetization	0.0	μB per cell